Entry 1:
HfTcH3: optimized geometry, PBE-GGA.

Output
E above lowest polymorph: 0.40 eV/f.u.

Structure (CIF):
```
data_HfTcH3
_space_group_name_H-M_alt 'P m -3 m'
_space_group_IT_number 221
_space_group_name_Hall '-P 4 2 3'
_cell_length_a 3.5283
_cell_length_b 3.5283
_cell_length_c 3.5283
_cell_angle_alpha 90.00
_cell_angle_beta 90.00
_cell_angle_gamma 90.00
loop_
_atom_site_label
_atom_site_fract_x
_atom_site_fract_y
_atom_site_fract_z
Hf1 0.0000 0.0000 0.0000
Tc1 0.5000 0.5000 0.5000
H1 0.0000 0.5000 0.5000
```


Entry 2:
Ce2H: optimized geometry, PBE-GGA.

Structure (CIF):
```
data_Ce2H
_space_group_name_H-M_alt 'I 4/m m m'
_space_group_IT_number 139
_space_group_name_Hall '-I 4 2'
_cell_length_a 3.1439
_cell_length_b 3.1439
_cell_length_c 11.1834
_cell_angle_alpha 90.00
_cell_angle_beta 90.00
_cell_angle_gamma 90.00
loop_
_atom_site_label
_atom_site_fract_x
_atom_site_fract_y
_atom_site_fract_z
Ce1 0.0000 0.0000 0.1267
H1 0.0000 0.0000 0.5000
```


Entry 3:
SnHgAu: optimized geometry, PBE-GGA.

Output
DFT formation energy: 0.062 eV per formula unit

Structure (CIF):
```
data_SnHgAu
_space_group_name_H-M_alt 'P 3 m 1'
_space_group_IT_number 156
_cell_length_a 4.6629
_cell_length_b 4.6629
_cell_length_c 3.8995
_cell_angle_alpha 90.00
_cell_angle_beta 90.00
_cell_angle_gamma 120.00
loop_
_space_group_symop_operation_xyz
'x,y,z'
'-y,x-y,z'
'-x+y,-x,z'
'-y,-x,z'
'-x+y,y,z'
'x,x-y,z'
loop_
_atom_site_label
_atom_site_fract_x
_atom_site_fract_y
_atom_site_fract_z
Sn1 0.0000 0.0000 0.0000
Hg1 0.3333 0.6667 0.5569
Au1 0.6667 0.3333 0.2503
```


Entry 4:
CsInPb2: optimized geometry, PBE-GGA.

Output
DFT formation energy: -0.192 eV per formula unit

Structure (CIF):
```
data_CsInPb2
_space_group_name_H-M_alt 'R -3 m'
_space_group_IT_number 166
_space_group_name_Hall '-R 3 2"'
_cell_length_a 5.0591
_cell_length_b 5.0591
_cell_length_c 22.4048
_cell_angle_alpha 90.00
_cell_angle_beta 90.00
_cell_angle_gamma 120.00
loop_
_atom_site_label
_atom_site_fract_x
_atom_site_fract_y
_atom_site_fract_z
Cs1 0.0000 0.0000 0.0000
In1 0.0000 0.0000 0.5000
Pb1 0.0000 0.0000 0.2154
```


Entry 5:
LaScTl2: optimized geometry, PBE-GGA.

Output
DFT formation energy: -1.124 eV per formula unit

Structure (CIF):
```
data_LaScTl2
_space_group_name_H-M_alt 'P 4/m m m'
_space_group_IT_number 123
_space_group_name_Hall '-P 4 2'
_cell_length_a 4.9688
_cell_length_b 4.9688
_cell_length_c 4.5107
_cell_angle_alpha 90.00
_cell_angle_beta 90.00
_cell_angle_gamma 90.00
loop_
_atom_site_label
_atom_site_fract_x
_atom_site_fract_y
_atom_site_fract_z
La1 0.0000 0.0000 0.0000
Sc1 0.5000 0.5000 0.0000
Tl1 0.0000 0.5000 0.5000
```


Entry 6:
KCdHg2Br6: optimized geometry, PBE-GGA.

Structure (CIF):
```
data_KCdHg2Br6
_space_group_name_H-M_alt 'P 1'
_space_group_IT_number 1
_cell_length_a 7.4333
_cell_length_b 7.4334
_cell_length_c 8.2588
_cell_angle_alpha 90.00
_cell_angle_beta 116.69
_cell_angle_gamma 119.96
loop_
_space_group_symop_operation_xyz
'x,y,z'
loop_
_atom_site_label
_atom_site_fract_x
_atom_site_fract_y
_atom_site_fract_z
K1 0.0000 0.0000 0.0000
Cd1 0.0351 0.5176 0.5532
Hg1 0.3882 0.1937 0.5822
Hg2 0.4168 0.7080 0.1253
Br1 0.2178 0.4336 0.3467
Br2 0.2666 0.3430 0.8099
Br3 0.4668 0.9234 0.8099
Br4 0.5631 0.1285 0.3471
Br5 0.8859 0.5435 0.8097
Br6 0.9128 0.7833 0.3466
```


Entry 7:
BeFe2Ag: optimized geometry, PBE-GGA.

Output
DFT formation energy: 1.211 eV per formula unit

Structure (CIF):
```
data_BeFe2Ag
_space_group_name_H-M_alt 'R -3 m'
_space_group_IT_number 166
_space_group_name_Hall '-R 3 2"'
_cell_length_a 2.6108
_cell_length_b 2.6108
_cell_length_c 25.2573
_cell_angle_alpha 90.00
_cell_angle_beta 90.00
_cell_angle_gamma 120.00
loop_
_atom_site_label
_atom_site_fract_x
_atom_site_fract_y
_atom_site_fract_z
Be1 0.0000 0.0000 0.0000
Fe1 0.0000 0.0000 0.2609
Ag1 0.0000 0.0000 0.5000
```


Entry 8:
Re2MoCl: optimized geometry, PBE-GGA.

Output
E above lowest polymorph: 3.03 eV/f.u.

Structure (CIF):
```
data_Re2MoCl
_space_group_name_H-M_alt 'I -4 m 2'
_space_group_IT_number 119
_space_group_name_Hall 'I -4 -2'
_cell_length_a 4.4451
_cell_length_b 4.4451
_cell_length_c 6.2777
_cell_angle_alpha 90.00
_cell_angle_beta 90.00
_cell_angle_gamma 90.00
loop_
_atom_site_label
_atom_site_fract_x
_atom_site_fract_y
_atom_site_fract_z
Re1 0.0000 0.0000 0.0000
Re2 0.0000 0.5000 0.2500
Mo1 0.0000 0.5000 0.7500
Cl1 0.0000 0.0000 0.5000
```


Entry 9:
Pm8SnRh2: optimized geometry, PBE-GGA.

Output
DFT formation energy: -4.049 eV per formula unit

Structure (CIF):
```
data_Pm8SnRh2
_space_group_name_H-M_alt 'C 1 2/m 1'
_space_group_IT_number 12
_cell_length_a 8.8030
_cell_length_b 13.7775
_cell_length_c 5.5673
_cell_angle_alpha 90.00
_cell_angle_beta 104.28
_cell_angle_gamma 90.00
loop_
_space_group_symop_operation_xyz
'x,y,z'
'-x,-y,-z'
'-x,y,-z'
'x,-y,z'
'x+1/2,y+1/2,z'
'-x+1/2,-y+1/2,-z'
'-x+1/2,y+1/2,-z'
'x+1/2,-y+1/2,z'
loop_
_atom_site_label
_atom_site_fract_x
_atom_site_fract_y
_atom_site_fract_z
Pm1 0.0000 0.2477 0.0000
Pm2 0.1074 0.5000 0.8068
Pm3 0.2020 0.1247 0.5629
Sn1 0.0000 0.0000 0.0000
Rh1 0.0000 0.2985 0.5000
```


Entry 10:
Mg2NiMo: optimized geometry, PBE-GGA.

Output
E above lowest polymorph: 0.77 eV/f.u.
DFT formation energy: 1.026 eV per formula unit

Structure (CIF):
```
data_Mg2NiMo
_space_group_name_H-M_alt 'C 1 m 1'
_space_group_IT_number 8
_cell_length_a 9.3284
_cell_length_b 2.7692
_cell_length_c 5.0917
_cell_angle_alpha 90.00
_cell_angle_beta 101.06
_cell_angle_gamma 90.00
loop_
_space_group_symop_operation_xyz
'x,y,z'
'x,-y,z'
'x+1/2,y+1/2,z'
'x+1/2,-y+1/2,z'
loop_
_atom_site_label
_atom_site_fract_x
_atom_site_fract_y
_atom_site_fract_z
Mg1 0.0000 0.0000 0.0000
Mg2 0.2313 0.0000 0.7467
Ni1 0.4968 0.0000 0.4599
Mo1 0.2639 0.5000 0.2765
```


Entry 11:
Tl2CuNi: optimized geometry, PBE-GGA.

Output
DFT formation energy: 1.465 eV per formula unit

Structure (CIF):
```
data_Tl2CuNi
_space_group_name_H-M_alt 'P m m m'
_space_group_IT_number 47
_cell_length_a 3.1914
_cell_length_b 4.5104
_cell_length_c 5.1257
_cell_angle_alpha 90.00
_cell_angle_beta 90.00
_cell_angle_gamma 90.00
loop_
_space_group_symop_operation_xyz
'x,y,z'
'-x,-y,-z'
'-x,-y,z'
'x,y,-z'
'x,-y,-z'
'-x,y,z'
'-x,y,-z'
'x,-y,z'
loop_
_atom_site_label
_atom_site_fract_x
_atom_site_fract_y
_atom_site_fract_z
Tl1 0.0000 0.0000 0.0000
Tl2 0.0000 0.5000 0.5000
Cu1 0.5000 0.0000 0.5000
Ni1 0.5000 0.5000 0.0000
```


Entry 12:
Li3Pm2Pb4: optimized geometry, PBE-GGA.

Output
DFT formation energy: -3.563 eV per formula unit

Structure (CIF):
```
data_Li3Pm2Pb4
_space_group_name_H-M_alt 'C m c e'
_space_group_IT_number 64
_space_group_name_Hall '-C 2ac 2'
_cell_length_a 6.5551
_cell_length_b 16.4219
_cell_length_c 8.2822
_cell_angle_alpha 90.00
_cell_angle_beta 90.00
_cell_angle_gamma 90.00
loop_
_atom_site_label
_atom_site_fract_x
_atom_site_fract_y
_atom_site_fract_z
Li1 0.0000 0.0000 0.0000
Li2 0.2500 0.2244 0.2500
Pm1 0.0000 0.1094 0.5942
Pb1 0.0000 0.1806 0.9740
Pb2 0.2500 0.0518 0.2500
```


Entry 13:
BaCeWN4: optimized geometry, PBE-GGA.

Structure (CIF):
```
data_BaCeWN4
_space_group_name_H-M_alt 'P 1 21/m 1'
_space_group_IT_number 11
_cell_length_a 6.1427
_cell_length_b 6.0490
_cell_length_c 7.4918
_cell_angle_alpha 90.00
_cell_angle_beta 107.17
_cell_angle_gamma 90.00
loop_
_space_group_symop_operation_xyz
'x,y,z'
'-x,-y,-z'
'-x,y+1/2,-z'
'x,-y+1/2,z'
loop_
_atom_site_label
_atom_site_fract_x
_atom_site_fract_y
_atom_site_fract_z
Ba1 0.2112 0.2500 0.4279
Ce1 0.2971 0.2500 0.9559
W1 0.2414 0.7500 0.1662
N1 0.0323 0.7500 0.9329
N2 0.0446 0.7500 0.3165
N3 0.4451 0.5089 0.1890
```


Entry 14:
Tm2InHg6: optimized geometry, PBE-GGA.

Output
E above lowest polymorph: 0.00 eV/f.u.
DFT formation energy: -2.088 eV per formula unit

Structure (CIF):
```
data_Tm2InHg6
_space_group_name_H-M_alt 'C 1 2/m 1'
_space_group_IT_number 12
_cell_length_a 8.9088
_cell_length_b 5.1481
_cell_length_c 9.3945
_cell_angle_alpha 90.00
_cell_angle_beta 90.10
_cell_angle_gamma 90.00
loop_
_space_group_symop_operation_xyz
'x,y,z'
'-x,-y,-z'
'-x,y,-z'
'x,-y,z'
'x+1/2,y+1/2,z'
'-x+1/2,-y+1/2,-z'
'-x+1/2,y+1/2,-z'
'x+1/2,-y+1/2,z'
loop_
_atom_site_label
_atom_site_fract_x
_atom_site_fract_y
_atom_site_fract_z
Tm1 0.1665 0.0000 0.2781
In1 0.0000 0.5000 0.5000
Hg1 0.9998 0.5000 0.1655
Hg2 0.1667 0.0000 0.6119
Hg3 0.1667 0.0000 0.9396
```


Entry 15:
SrSc2Cd: optimized geometry, PBE-GGA.

Output
E above lowest polymorph: 0.38 eV/f.u.
DFT formation energy: 0.277 eV per formula unit

Structure (CIF):
```
data_SrSc2Cd
_space_group_name_H-M_alt 'P 4/m m m'
_space_group_IT_number 123
_space_group_name_Hall '-P 4 2'
_cell_length_a 3.6020
_cell_length_b 3.6020
_cell_length_c 9.0930
_cell_angle_alpha 90.00
_cell_angle_beta 90.00
_cell_angle_gamma 90.00
loop_
_atom_site_label
_atom_site_fract_x
_atom_site_fract_y
_atom_site_fract_z
Sr1 0.0000 0.0000 0.0000
Sc1 0.5000 0.5000 0.3148
Cd1 0.0000 0.0000 0.5000
```


Entry 16:
K2FeS: optimized geometry, PBE-GGA.

Structure (CIF):
```
data_K2FeS
_space_group_name_H-M_alt 'I -4 2 d'
_space_group_IT_number 122
_space_group_name_Hall 'I -4 2bw'
_cell_length_a 12.1998
_cell_length_b 12.1998
_cell_length_c 4.2857
_cell_angle_alpha 90.00
_cell_angle_beta 90.00
_cell_angle_gamma 90.00
loop_
_atom_site_label
_atom_site_fract_x
_atom_site_fract_y
_atom_site_fract_z
K1 0.0491 0.2500 0.1250
Fe1 0.0000 0.0000 0.5000
S1 0.0000 0.0000 0.0000
```


Entry 17:
MnHgB2Sb: optimized geometry, PBE-GGA.

Structure (CIF):
```
data_MnHgB2Sb
_space_group_name_H-M_alt 'P 4/m m m'
_space_group_IT_number 123
_space_group_name_Hall '-P 4 2'
_cell_length_a 4.0559
_cell_length_b 4.0559
_cell_length_c 5.1986
_cell_angle_alpha 90.00
_cell_angle_beta 90.00
_cell_angle_gamma 90.00
loop_
_atom_site_label
_atom_site_fract_x
_atom_site_fract_y
_atom_site_fract_z
Mn1 0.0000 0.0000 0.0000
Hg1 0.0000 0.0000 0.5000
B1 0.0000 0.5000 0.0000
Sb1 0.5000 0.5000 0.5000
```


Entry 18:
Rb2LiSO4: optimized geometry, PBE-GGA.

Structure (CIF):
```
data_Rb2LiSO4
_space_group_name_H-M_alt 'F d d d'
_space_group_IT_number 70
_cell_length_a 4.9444
_cell_length_b 15.4373
_cell_length_c 21.6344
_cell_angle_alpha 90.00
_cell_angle_beta 90.00
_cell_angle_gamma 90.00
loop_
_space_group_symop_operation_xyz
'x,y,z'
'-x,-y,-z'
'-x+1/4,-y+1/4,z'
'x+1/4,y+1/4,-z'
'x,-y+1/4,-z+1/4'
'-x,y+1/4,z+1/4'
'-x+1/4,y,-z+1/4'
'x+1/4,-y,z+1/4'
'x,y+1/2,z+1/2'
'-x,-y+1/2,-z+1/2'
'-x+1/4,-y+3/4,z+1/2'
'x+1/4,y+3/4,-z+1/2'
'x,-y+3/4,-z+3/4'
'-x,y+3/4,z+3/4'
'-x+1/4,y+1/2,-z+3/4'
'x+1/4,-y+1/2,z+3/4'
'x+1/2,y,z+1/2'
'-x+1/2,-y,-z+1/2'
'-x+3/4,-y+1/4,z+1/2'
'x+3/4,y+1/4,-z+1/2'
'x+1/2,-y+1/4,-z+3/4'
'-x+1/2,y+1/4,z+3/4'
'-x+3/4,y,-z+3/4'
'x+3/4,-y,z+3/4'
'x+1/2,y+1/2,z'
'-x+1/2,-y+1/2,-z'
'-x+3/4,-y+3/4,z'
'x+3/4,y+3/4,-z'
'x+1/2,-y+3/4,-z+1/4'
'-x+1/2,y+3/4,z+1/4'
'-x+3/4,y+1/2,-z+1/4'
'x+3/4,-y+1/2,z+1/4'
loop_
_atom_site_label
_atom_site_fract_x
_atom_site_fract_y
_atom_site_fract_z
Rb1 0.1250 0.1250 0.2856
Li1 0.1250 0.1250 0.1250
S1 0.1250 0.1250 0.6250
O1 0.0571 0.3202 0.8353
```


Entry 19:
SmP4Pd12: optimized geometry, PBE-GGA.

Output
DFT formation energy: -7.848 eV per formula unit

Structure (CIF):
```
data_SmP4Pd12
_space_group_name_H-M_alt 'I m -3'
_space_group_IT_number 204
_space_group_name_Hall '-I 2 2 3'
_cell_length_a 8.3545
_cell_length_b 8.3545
_cell_length_c 8.3545
_cell_angle_alpha 90.00
_cell_angle_beta 90.00
_cell_angle_gamma 90.00
loop_
_atom_site_label
_atom_site_fract_x
_atom_site_fract_y
_atom_site_fract_z
Sm1 0.0000 0.0000 0.0000
P1 0.2500 0.2500 0.2500
Pd1 0.0000 0.1712 0.3355
```


Entry 20:
CaSm6: optimized geometry, PBE-GGA.

Output
DFT formation energy: 8.523 eV per formula unit

Structure (CIF):
```
data_CaSm6
_space_group_name_H-M_alt 'I m -3 m'
_space_group_IT_number 229
_space_group_name_Hall '-I 4 2 3'
_cell_length_a 8.2476
_cell_length_b 8.2476
_cell_length_c 8.2476
_cell_angle_alpha 90.00
_cell_angle_beta 90.00
_cell_angle_gamma 90.00
loop_
_atom_site_label
_atom_site_fract_x
_atom_site_fract_y
_atom_site_fract_z
Ca1 0.0000 0.0000 0.0000
Sm1 0.0000 0.2500 0.5000
```


no.,total energy (eV/cell),V (Å³/cell)
1,-30.8,43.9
2,-30.4,110.5
3,-7.5,73.4
4,-33.6,496.6
5,-17.1,111.4
6,-20.0,338.1
7,-66.9,149.1
8,-67.1,124.0
9,-121.5,654.4
10,-37.6,129.1
11,-13.1,73.8
12,-134.6,891.6
13,-121.7,266.0
14,-31.2,430.9
15,-15.0,118.0
16,-61.9,637.9
17,-21.4,85.5
18,-317.9,1651.3
19,-193.0,583.1
20,-43.6,561.0